Li2YAgAu4 | GGA-PBE | relaxed

Cell and atoms, written as extended XYZ:
```
8
Lattice="4.5617 0.0000 0.0000 2.2808 3.9505 0.0000 2.2808 1.3168 8.4799" Properties=species:S:1:pos:R:3 pbc="T T T"
Au 4.5617 2.6337 7.0460
Au 6.8425 3.9505 3.0238
Au 2.2808 1.3168 5.4561
Au 4.5617 2.6337 1.4338
Y 0.0000 0.0000 0.0000
Ag 4.5617 2.6337 4.2399
Li 2.2808 1.3168 2.5120
Li 6.8425 3.9505 5.9678
```

Values from the calculation:
Final energy (eV/atom): -3.787
Total magnetization (μB per cell): 0.00
Energy of formation from the pure elements (eV per atom): -0.5057
Space-group type: R-3m

Sm4BiS2N | GGA-PBE | relaxed

Cell and atoms, written as extended XYZ:
```
8
Lattice="7.2428 0.0000 0.0000 3.6214 5.4692 0.1148 3.6214 0.5626 5.4414" Properties=species:S:1:pos:R:3 pbc="T T T"
Sm 5.9039 4.8917 2.6854
Sm 8.5818 2.9546 0.9010
Sm 5.9039 1.1401 2.8708
Sm 8.5818 3.0773 4.6552
N 7.2429 3.0159 2.7781
S 3.6214 1.5091 1.3901
S 10.8643 4.5227 4.1660
Bi 0.0000 0.0000 0.0000
```

Values from the calculation:
Final energy (eV/atom): -6.283
Total magnetization (μB per cell): 0.00
Formation energy from raw total energies (eV per atom): -1.37
Space-group type: I-42m

PrGePd3 | GGA-PBE | relaxed

Cell and atoms, written as extended XYZ:
```
10
Lattice="5.5256 0.0000 0.0000 0.0000 8.4288 0.0000 -2.7628 -4.2144 4.3183" Properties=species:S:1:pos:R:3 pbc="T T T"
Pr 0.0000 0.1832 2.1592
Pr 2.7628 4.0312 2.1592
Pd 1.3814 2.1072 0.1490
Pd 0.0000 5.5018 2.1592
Pd 2.7628 -1.2874 2.1592
Pd -1.3814 2.1072 4.1694
Pd 4.1442 2.1072 0.1490
Pd 1.3814 2.1072 4.1694
Ge 2.7628 0.0000 0.0000
Ge 0.0000 4.2144 0.0000
```

Values from the calculation:
Final energy (eV/atom): -5.672
Total magnetization (μB per cell): 0.00
Energy of formation from the pure elements (eV per atom): -0.6766
Space-group type: Imma

CeTh4Rh | GGA-PBE | relaxed

Cell and atoms, written as extended XYZ:
```
12
Lattice="6.9709 0.0000 0.0000 0.0000 7.0275 0.0000 0.0000 0.0000 7.0255" Properties=species:S:1:pos:R:3 pbc="T T T"
Ce 0.0000 0.0000 0.0000
Ce 3.4855 0.0000 3.5128
Th 4.7890 1.8110 5.9486
Th 2.1819 1.8110 1.0769
Th 5.5467 2.1784 2.4073
Th 1.4242 2.1784 4.6182
Th 1.4242 4.8490 2.4073
Th 5.5467 4.8490 4.6182
Th 2.1819 5.2164 5.9486
Th 4.7890 5.2164 1.0769
Rh 0.0000 0.0000 3.5128
Rh 0.0000 3.5137 0.0000
```

Values from the calculation:
Final energy (eV/atom): -7.211
Total magnetization (μB per cell): 0.00
Energy of formation from the pure elements (eV per atom): -0.0498
Space-group type: P222

NaSi | GGA-PBE | relaxed

Cell and atoms, written as extended XYZ:
```
4
Lattice="-3.6713 -1.1791 0.0413 2.3182 -1.0142 -2.9099 2.1881 -6.6706 4.0680" Properties=species:S:1:pos:R:3 pbc="T T T"
Na 2.0437 -6.3187 1.2751
Na 0.8931 -2.7226 1.6603
Si 0.0782 -0.2383 0.1453
Si -1.3746 -2.0393 -0.3843
```

Values from the calculation:
Final energy (eV/atom): -3.349
Total magnetization (μB per cell): 0.00
Formation energy from raw total energies (eV per atom): 0.02
Space-group type: P3m1

VRu3Pb | GGA-PBE | relaxed

Cell and atoms, written as extended XYZ:
```
5
Lattice="4.9187 0.0000 0.0000 0.0000 4.9187 0.0000 0.0000 0.0000 4.9187" Properties=species:S:1:pos:R:3 pbc="T T T"
Ru 0.0000 0.0000 2.4593
Ru 0.0000 2.4593 0.0000
Ru 2.4593 0.0000 0.0000
V 2.4593 2.4593 2.4593
Pb 0.0000 0.0000 0.0000
```

Values from the calculation:
Final energy (eV/atom): -5.889
Total magnetization (μB per cell): 0.87
Energy of formation from the pure elements (eV per atom): 2.2416
Space-group type: Pm-3m